Entry 1:
The following is a DFT calculation (PBEsol) of an optimized crystal structure of Na2Ge2O5.

Summary:
As for the space group: Pca2_1. The calculation puts the energy above the most stable polymorph in this dataset at 1 meV/atom. The uncorrected formation energy comes out at -1.76 eV/atom.

Lattice parameters (Å, degrees): 5.6088 8.6571 9.6666 90.00 90.00 90.00
Element x y z (fractional)
Ge: 0.6094 0.4530 0.2883
O: 0.5751 0.3993 0.6455
O: 0.3698 0.7738 0.6161
Ge: 0.4563 0.2495 0.5349
O: 0.4249 0.8993 0.3545
O: 0.5808 0.5797 0.8852
O: 0.1563 0.7500 0.9940
O: 0.4192 0.0797 0.1148
Na: 0.9323 0.2466 0.7527
Na: 0.9323 0.7466 0.7473
Na: 0.0677 0.2466 0.2527
O: 0.8976 0.0019 0.2448
Na: 0.0677 0.7466 0.2473
O: 0.6302 0.2738 0.3839
O: 0.6302 0.7738 0.1161
O: 0.4192 0.5797 0.3852
Ge: 0.5437 0.7495 0.4651
Ge: 0.6094 0.9530 0.2117
O: 0.8437 0.7500 0.4940
O: 0.1563 0.2500 0.5060
O: 0.1024 0.5019 0.7552
Na: 0.0373 0.5106 0.5072
Ge: 0.3906 0.9530 0.7117
O: 0.8976 0.5019 0.2552
O: 0.8437 0.2500 0.0060
Na: 0.0373 0.0106 0.9928
Na: 0.9627 0.0106 0.4928
O: 0.5808 0.0797 0.6148
Ge: 0.4563 0.7495 0.9651
O: 0.5751 0.8993 0.8545
Ge: 0.5437 0.2495 0.0349
Na: 0.9627 0.5106 0.0072
O: 0.4249 0.3993 0.1455
O: 0.3698 0.2738 0.8839
Ge: 0.3906 0.4530 0.7883
O: 0.1024 0.0019 0.7448



Entry 2:
The following is a DFT calculation (PBEsol) of an optimized crystal structure of NaGe2P3O12.

Summary:
As for the space group: R-3c. The uncorrected formation energy comes out at -2.06 eV/atom.

Lattice parameters (Å, degrees): 8.2869 8.2869 8.6191 61.27 61.27 60.00
Element x y z (fractional)
Na: 0.0000 0.0000 0.0000
O: 0.7226 0.0687 0.2681
O: 0.7710 0.0138 0.5735
Ge: 0.6452 0.6452 0.0644
Na: 0.5000 0.5000 0.5000
O: 0.5138 0.2710 0.0735
O: 0.7774 0.5594 0.2319
O: 0.2290 0.9862 0.4265
O: 0.1417 0.5138 0.0735
P: 0.4647 0.7500 0.7500
O: 0.2710 0.1417 0.0735
O: 0.2226 0.4406 0.7681
O: 0.2774 0.9313 0.7319
O: 0.3583 0.2290 0.4265
O: 0.4862 0.7290 0.9265
O: 0.8583 0.4862 0.9265
O: 0.9862 0.3583 0.4265
Ge: 0.3548 0.3548 0.9356
Ge: 0.1452 0.1452 0.5644
Ge: 0.8548 0.8548 0.4356
O: 0.7290 0.8583 0.9265
O: 0.4313 0.7774 0.2319
O: 0.5687 0.2226 0.7681
P: 0.0353 0.4647 0.7500
O: 0.0594 0.2774 0.7319
O: 0.5594 0.4313 0.2319
P: 0.9647 0.5353 0.2500
P: 0.7500 0.0353 0.7500
P: 0.2500 0.9647 0.2500
O: 0.4406 0.5687 0.7681
O: 0.9313 0.0594 0.7319
O: 0.9406 0.7226 0.2681
O: 0.0138 0.6417 0.5735
O: 0.0687 0.9406 0.2681
P: 0.5353 0.2500 0.2500
O: 0.6417 0.7710 0.5735



Entry 3:
The following is a DFT calculation (PBEsol) of an optimized crystal structure of Na2PrGeO5.

Summary:
As for the space group: Pnma. The uncorrected formation energy comes out at -2.03 eV/atom.

Lattice parameters (Å, degrees): 6.7499 7.5734 9.4970 90.00 90.00 90.00
Element x y z (fractional)
Pr: 0.8705 0.7500 0.9615
Ge: 0.6766 0.2500 0.9164
Na: 0.6139 0.0346 0.1895
O: 0.3364 0.9317 0.5609
O: 0.2387 0.2500 0.7851
O: 0.8364 0.4317 0.9391
O: 0.0919 0.7500 0.7600
Pr: 0.1295 0.2500 0.0385
O: 0.1636 0.9317 0.0609
O: 0.6636 0.4317 0.4391
O: 0.5919 0.2500 0.7400
Pr: 0.6295 0.7500 0.4615
O: 0.5144 0.7500 0.9603
Ge: 0.1766 0.7500 0.5836
Na: 0.6139 0.4654 0.1895
O: 0.1636 0.5683 0.0609
O: 0.4081 0.7500 0.2600
Na: 0.1139 0.9654 0.3105
Na: 0.8861 0.0346 0.6895
O: 0.8364 0.0683 0.9391
Ge: 0.8234 0.2500 0.4164
O: 0.6636 0.0683 0.4391
O: 0.7613 0.7500 0.2149
Na: 0.3861 0.5346 0.8105
Na: 0.3861 0.9654 0.8105
Ge: 0.3234 0.7500 0.0836
O: 0.9081 0.2500 0.2400
O: 0.7387 0.7500 0.7149
O: 0.4856 0.2500 0.0397
Na: 0.1139 0.5346 0.3105
O: 0.2613 0.2500 0.2851
O: 0.0144 0.2500 0.5397
Pr: 0.3705 0.2500 0.5385
O: 0.3364 0.5683 0.5609
Na: 0.8861 0.4654 0.6895
O: 0.9856 0.7500 0.4603



Entry 4:
The following is a DFT calculation (PBEsol) of an optimized crystal structure of Na2GeRuO.

Summary:
As for the space group: P4/mmm. The uncorrected formation energy comes out at 0.12 eV/atom.

Lattice parameters (Å, degrees): 4.0745 4.0745 4.5820 90.00 90.00 90.00
Element x y z (fractional)
Na: 0.0000 0.5000 0.0000
Ru: 0.5000 0.5000 0.5000
Na: 0.5000 0.0000 0.0000
O: 0.0000 0.0000 0.0000
Ge: 0.0000 0.0000 0.5000



Entry 5:
The following is a DFT calculation (PBEsol) of an optimized crystal structure of NaSmGeO4.

Summary:
As for the space group: Pnma. The uncorrected formation energy comes out at -2.45 eV/atom.

Lattice parameters (Å, degrees): 5.3139 6.5524 11.6198 90.00 90.00 90.00
Element x y z (fractional)
O: 0.7913 0.0443 0.1712
Ge: 0.0582 0.7500 0.9043
O: 0.2913 0.9557 0.3288
Na: 0.0000 0.5000 0.5000
O: 0.2326 0.2500 0.6088
O: 0.7326 0.7500 0.8912
Ge: 0.5582 0.2500 0.5957
Sm: 0.4969 0.7500 0.7215
O: 0.2674 0.2500 0.1088
O: 0.2087 0.5443 0.8288
O: 0.2913 0.5443 0.3288
O: 0.7674 0.7500 0.3912
O: 0.7087 0.4557 0.6712
Sm: 0.5031 0.2500 0.2785
Ge: 0.9418 0.2500 0.0957
O: 0.2087 0.9557 0.8288
Na: 0.5000 0.0000 0.0000
O: 0.7913 0.4557 0.1712
Sm: 0.9969 0.2500 0.7785
Na: 0.0000 0.0000 0.5000
O: 0.7087 0.0443 0.6712
Ge: 0.4418 0.7500 0.4043
O: 0.1815 0.7500 0.0441
O: 0.3185 0.7500 0.5441
O: 0.8185 0.2500 0.9559
O: 0.6815 0.2500 0.4559
Na: 0.5000 0.5000 0.0000
Sm: 0.0031 0.7500 0.2215



Entry 6:
The following is a DFT calculation (PBEsol) of an optimized crystal structure of Na4SrGe6O15.

Summary:
As for the space group: P6_3/m. The uncorrected formation energy comes out at -1.91 eV/atom.

Lattice parameters (Å, degrees): 5.9243 10.9389 10.9389 120.00 90.00 90.00
Element x y z (fractional)
Na: 0.2500 0.2868 0.1631
O: 0.5035 0.4680 0.3137
O: 0.5035 0.8457 0.5320
O: 0.2500 0.4582 0.0782
O: 0.9965 0.4680 0.3137
Na: 0.5000 0.0000 0.0000
O: 0.4965 0.5320 0.6863
Ge: 0.2500 0.2142 0.8270
O: 0.7500 0.3801 0.4582
O: 0.7500 0.5418 0.9218
O: 0.2500 0.7958 0.8813
Sr: 0.7500 0.3333 0.6667
O: 0.2500 0.0851 0.6402
O: 0.7500 0.9144 0.7958
O: 0.2500 0.3598 0.4448
Ge: 0.0000 0.5000 0.0000
O: 0.4965 0.1543 0.4680
Ge: 0.2500 0.6129 0.7858
Ge: 0.5000 0.5000 0.5000
O: 0.2500 0.9218 0.3801
O: 0.5035 0.6863 0.1543
Na: 0.2500 0.8763 0.7132
O: 0.7500 0.8813 0.0856
O: 0.9965 0.6863 0.1543
Ge: 0.7500 0.8270 0.6129
Ge: 0.7500 0.7858 0.1730
O: 0.2500 0.1187 0.9144
Na: 0.0000 0.0000 0.0000
Na: 0.7500 0.1237 0.2868
O: 0.7500 0.9149 0.3598
O: 0.0035 0.5320 0.6863
O: 0.4965 0.3137 0.8457
O: 0.7500 0.6402 0.5552
O: 0.2500 0.5552 0.9149
Ge: 0.5000 0.0000 0.5000
O: 0.7500 0.0782 0.6199
Ge: 0.2500 0.1730 0.3871
Na: 0.7500 0.7132 0.8369
Sr: 0.2500 0.6667 0.3333
O: 0.7500 0.2042 0.1187
Ge: 0.0000 0.5000 0.5000
O: 0.0035 0.1543 0.4680
Ge: 0.5000 0.5000 0.0000
O: 0.0035 0.3137 0.8457
O: 0.9965 0.8457 0.5320
O: 0.2500 0.6199 0.5418
Na: 0.7500 0.1631 0.8763
O: 0.2500 0.0856 0.2042
O: 0.7500 0.4448 0.0851
Ge: 0.7500 0.3871 0.2142
Na: 0.2500 0.8369 0.1237
Ge: 0.0000 0.0000 0.5000



Entry 7:
The following is a DFT calculation (PBEsol) of an optimized crystal structure of NaTbGeO4.

Summary:
As for the space group: Pnma. The uncorrected formation energy comes out at -2.49 eV/atom.

Lattice parameters (Å, degrees): 5.2794 6.4431 11.4558 90.00 90.00 90.00
Element x y z (fractional)
O: 0.8246 0.7500 0.0451
Tb: 0.9941 0.7500 0.2223
O: 0.7730 0.2500 0.6107
O: 0.2921 0.4581 0.6738
Ge: 0.9457 0.7500 0.9028
O: 0.7921 0.5419 0.8262
Na: 0.0000 0.0000 0.5000
Na: 0.5000 0.5000 0.0000
O: 0.2270 0.7500 0.3893
Tb: 0.4941 0.2500 0.2777
O: 0.7079 0.5419 0.3262
Tb: 0.5059 0.7500 0.7223
O: 0.7921 0.9581 0.8262
Ge: 0.0543 0.2500 0.0972
Ge: 0.5543 0.7500 0.4028
O: 0.2079 0.4581 0.1738
O: 0.6754 0.7500 0.5451
O: 0.7270 0.2500 0.1107
O: 0.2730 0.7500 0.8893
Na: 0.5000 0.0000 0.0000
O: 0.2079 0.0419 0.1738
O: 0.7079 0.9581 0.3262
O: 0.2921 0.0419 0.6738
O: 0.1754 0.2500 0.9549
Ge: 0.4457 0.2500 0.5972
Na: 0.0000 0.5000 0.5000
O: 0.3246 0.2500 0.4549
Tb: 0.0059 0.2500 0.7777



Entry 8:
The following is a DFT calculation (PBEsol) of an optimized crystal structure of Na3Ti2Ge3O12.

Summary:
As for the space group: Ia-3d. The uncorrected formation energy comes out at -2.08 eV/atom.

Lattice parameters (Å, degrees): 10.6370 10.6370 10.6370 109.47 109.47 109.47
Element x y z (fractional)
Ti: 0.5000 0.5000 0.0000
O: 0.3875 0.8987 0.0822
O: 0.3875 0.4887 0.8053
Na: 0.3750 0.1250 0.2500
O: 0.3053 0.9178 0.8166
O: 0.1125 0.1947 0.5113
O: 0.1013 0.6834 0.4887
Na: 0.6250 0.7500 0.3750
O: 0.9887 0.1013 0.1834
Na: 0.2500 0.6250 0.3750
Na: 0.2500 0.1250 0.8750
Ge: 0.2500 0.8750 0.6250
Ge: 0.2500 0.3750 0.1250
O: 0.3053 0.3875 0.9887
Ge: 0.6250 0.2500 0.8750
O: 0.1013 0.4178 0.1125
O: 0.8875 0.8053 0.4887
Na: 0.7500 0.8750 0.1250
Na: 0.7500 0.3750 0.6250
O: 0.9178 0.6013 0.6125
O: 0.6013 0.4887 0.6834
Ge: 0.8750 0.7500 0.6250
Ti: 0.5000 0.0000 0.5000
Ge: 0.3750 0.6250 0.7500
O: 0.4178 0.8053 0.3166
O: 0.8987 0.3166 0.5113
Ge: 0.1250 0.2500 0.3750
O: 0.0822 0.3987 0.3875
O: 0.3987 0.5113 0.3166
O: 0.9178 0.3166 0.8053
Ge: 0.3750 0.7500 0.1250
O: 0.6834 0.6947 0.5822
Na: 0.1250 0.7500 0.8750
Ti: 0.0000 0.5000 0.5000
O: 0.3987 0.8875 0.5822
O: 0.5822 0.1947 0.6834
O: 0.1834 0.6013 0.9887
Na: 0.8750 0.6250 0.2500
O: 0.1947 0.0113 0.6125
O: 0.0822 0.6834 0.1947
O: 0.8987 0.5822 0.8875
O: 0.8053 0.9887 0.3875
O: 0.6947 0.0822 0.1834
O: 0.1125 0.9178 0.1013
O: 0.6125 0.1013 0.9178
O: 0.0113 0.1125 0.6947
O: 0.1834 0.5822 0.6947
O: 0.4887 0.1834 0.1013
O: 0.8875 0.0822 0.8987
Ti: 0.5000 0.0000 0.0000
Ge: 0.7500 0.6250 0.8750
Ti: 0.5000 0.5000 0.5000
O: 0.8166 0.4178 0.3053
O: 0.3166 0.3053 0.4178
O: 0.8053 0.8166 0.9178
O: 0.5822 0.3875 0.3987
O: 0.6125 0.5113 0.1947
Ge: 0.7500 0.1250 0.3750
Na: 0.3750 0.2500 0.6250
Na: 0.8750 0.2500 0.1250
O: 0.4178 0.6125 0.6013
O: 0.6834 0.9887 0.6013
O: 0.0113 0.8987 0.8166
Ti: 0.0000 0.5000 0.0000
O: 0.1947 0.1834 0.0822
Na: 0.1250 0.3750 0.7500
O: 0.6947 0.6125 0.0113
O: 0.3166 0.0113 0.3987
Ge: 0.1250 0.8750 0.2500
O: 0.8166 0.3987 0.0113
Na: 0.6250 0.8750 0.7500
O: 0.9887 0.8875 0.3053
Ge: 0.6250 0.3750 0.2500
O: 0.6013 0.1125 0.4178
O: 0.4887 0.3053 0.8875
O: 0.5113 0.6947 0.1125
Ti: 0.0000 0.0000 0.0000
O: 0.5113 0.8166 0.8987
Ti: 0.0000 0.0000 0.5000
Ge: 0.8750 0.1250 0.7500



Entry 9:
The following is a DFT calculation (PBEsol) of an optimized crystal structure of NaTl2GeO.

Summary:
As for the space group: P4/mmm. The uncorrected formation energy comes out at -0.24 eV/atom.

Lattice parameters (Å, degrees): 4.2379 4.9656 4.9656 90.00 90.00 90.00
Element x y z (fractional)
Tl: 0.0000 0.0000 0.5000
Tl: 0.0000 0.5000 0.0000
Na: 0.5000 0.0000 0.0000
O: 0.0000 0.0000 0.0000
Ge: 0.5000 0.5000 0.5000



Entry 10:
The following is a DFT calculation (PBEsol) of an optimized crystal structure of NaVGe2O6.

Summary:
As for the space group: C2/c. The uncorrected formation energy comes out at -1.86 eV/atom.

Lattice parameters (Å, degrees): 5.4261 6.6828 6.6828 82.34 77.84 77.84
Element x y z (fractional)
Ge: 0.7227 0.1133 0.3103
O: 0.1301 0.4795 0.3087
V: 0.7500 0.5876 0.4124
O: 0.4933 0.1186 0.1566
Na: 0.2500 0.8091 0.1909
Ge: 0.2773 0.8867 0.6897
V: 0.2500 0.4124 0.5876
O: 0.5067 0.8814 0.8434
O: 0.1860 0.1372 0.5856
O: 0.3140 0.4144 0.8628
Ge: 0.2227 0.3103 0.1133
O: 0.9933 0.1566 0.1186
O: 0.6301 0.3087 0.4795
O: 0.6860 0.5856 0.1372
Ge: 0.7773 0.6897 0.8867
O: 0.8140 0.8628 0.4144
O: 0.3699 0.6913 0.5205
O: 0.8699 0.5205 0.6913
Na: 0.7500 0.1909 0.8091
O: 0.0067 0.8434 0.8814



Entry 11:
The following is a DFT calculation (PBEsol) of an optimized crystal structure of NaYGeO4.

Summary:
As for the space group: Pnma. The uncorrected formation energy comes out at -2.50 eV/atom.

Lattice parameters (Å, degrees): 5.2661 6.4185 11.4016 90.00 90.00 90.00
Element x y z (fractional)
Y: 0.9946 0.2500 0.2775
O: 0.7746 0.7500 0.8892
Y: 0.5054 0.2500 0.7775
O: 0.1739 0.7500 0.5458
O: 0.7083 0.0413 0.1742
Na: 0.5000 0.0000 0.5000
O: 0.7083 0.4587 0.1742
Ge: 0.5536 0.2500 0.0973
Na: 0.5000 0.5000 0.5000
Ge: 0.9464 0.2500 0.5973
Y: 0.0054 0.7500 0.7225
Na: 0.0000 0.5000 0.0000
O: 0.3261 0.7500 0.0458
O: 0.8261 0.2500 0.4542
O: 0.2746 0.2500 0.6108
O: 0.2917 0.9587 0.8258
O: 0.6739 0.2500 0.9542
O: 0.2254 0.2500 0.1108
Na: 0.0000 0.0000 0.0000
O: 0.2083 0.9587 0.3258
O: 0.2917 0.5413 0.8258
Y: 0.4946 0.7500 0.2225
O: 0.7254 0.7500 0.3892
O: 0.2083 0.5413 0.3258
O: 0.7917 0.0413 0.6742
Ge: 0.4464 0.7500 0.9027
O: 0.7917 0.4587 0.6742
Ge: 0.0536 0.7500 0.4027